Record 1
A plane-wave DFT calculation with PBE was carried out for Ti6MnPb after structural relaxation.

Cell: 5.5855 5.5855 5.5855 Å, 107.14 107.14 107.14°
Closest atoms and distances in Å follow each position.
Fractional coordinates of all 8 atoms:
Ti 0.2287 0.2287 0.6568  1 Mn 2.36
Ti 0.2287 0.6568 0.2287  1 Mn 2.36
Ti 0.3432 0.7713 0.7713  1 Mn 2.36
Ti 0.6568 0.2287 0.2287  1 Mn 2.36
Ti 0.7713 0.3432 0.7713  1 Mn 2.36
Ti 0.7713 0.7713 0.3432  1 Mn 2.36
Mn 0.5000 0.5000 0.5000  6 Ti 2.36
Pb 0.0000 0.0000 0.0000  12 Ti 2.98-3.20, 2 Mn 3.10

Calculated values
As for the formation energy: 1.6 eV per formula unit. The total energy is -0.5389 Ry/atom.

Record 2
A plane-wave DFT calculation with PBE was carried out for Na2CoHgH6 after structural relaxation.

Cell: 5.0530 5.0530 5.0729 Å, 90.00 90.00 120.00°
Closest atoms and distances in Å follow each position.
Fractional coordinates of all 10 atoms:
Na 0.3333 0.6667 0.3062  9 H 2.35-2.54
Na 0.6667 0.3333 0.6938  9 H 2.35-2.54
Co 0.0000 0.0000 0.5000  6 H 1.57
Hg 0.0000 0.0000 0.0000  6 H 2.22
H 0.1557 0.3114 0.6544  1 Co 1.57
H 0.1557 0.8443 0.6544  1 Co 1.57
H 0.3114 0.1557 0.3456  1 Co 1.57
H 0.6886 0.8443 0.6544  1 Co 1.57
H 0.8443 0.1557 0.3456  1 Co 1.57
H 0.8443 0.6886 0.3456  1 Co 1.57

Calculated values
The total energy is -0.2245 Ry/atom.

Record 3
A plane-wave DFT calculation with PBE was carried out for Te2AuSe2 after structural relaxation.

Cell: 9.2905 9.2905 9.2905 Å, 154.39 154.39 36.53°
Closest atoms and distances in Å follow each position.
Fractional coordinates of all 5 atoms:
Te 0.2500 0.7500 0.5000  4 Te 2.91
Te 0.7500 0.2500 0.5000  4 Te 2.91
Au 0.0000 0.0000 0.0000  8 Se 3.14
Se 0.4339 0.4339 0.0000  1 Se 2.33
Se 0.5661 0.5661 0.0000  1 Se 2.33

Calculated values
The total energy is -0.2096 Ry/atom.

Record 4
A plane-wave DFT calculation with PBE was carried out for YPtSe2 after structural relaxation.

Cell: 7.4002 7.4002 7.4002 Å, 151.34 150.88 41.31°
Closest atoms and distances in Å follow each position.
Fractional coordinates of all 4 atoms:
Y 0.0000 0.0000 0.0000  6 Se 2.87-2.94, 2 Pt 3.13
Pt 0.1830 0.6830 0.5000  4 Se 2.62
Se 0.4142 0.4142 0.0000  4 Y 2.87
Se 0.6646 0.1646 0.5000  4 Pt 2.62

Calculated values
The total energy is -0.4348 Ry/atom.

> Which formula does entry 2 have?

Na2CoHgH6